DFT (GGA-PBE) results for crystalline AgSbPb at its relaxed geometry.

CIF file:
```
data_AgSbPb
_chemical_formula_sum 'Ag2 Sb2 Pb2'
_symmetry_space_group_name_H-M 'P 63/m m c'
_symmetry_Int_Tables_number 194
_symmetry_space_group_name_Hall '-P 6c 2c'
_cell_length_a 5.3542
_cell_length_b 5.3542
_cell_length_c 6.4208
_cell_angle_alpha 90.00
_cell_angle_beta 90.00
_cell_angle_gamma 120.00
loop_
_atom_site_label
_atom_site_type_symbol
_atom_site_fract_x
_atom_site_fract_y
_atom_site_fract_z
Ag1 Ag 0.0000 0.0000 0.0000
Sb1 Sb 0.3333 0.6667 0.2500
Pb1 Pb 0.3333 0.6667 0.7500
```

Properties
raw total energy = -10.1 eV/f.u.
relative energy among the computed polymorphs = 177 meV per atom

DFT (GGA-PBE) results for crystalline PrAlSiPt2 at its relaxed geometry.

CIF file:
```
data_PrAlSiPt2
_chemical_formula_sum 'Pr2 Al2 Si2 Pt4'
_symmetry_space_group_name_H-M 'P 4/n m m'
_symmetry_Int_Tables_number 129
_cell_length_a 4.288
_cell_length_b 4.288
_cell_length_c 10.213
_cell_angle_alpha 90.00
_cell_angle_beta 90.00
_cell_angle_gamma 90.00
loop_
_symmetry_equiv_pos_as_xyz
'x,y,z'
'-x,-y,-z'
'-y+1/2,x,z'
'y+1/2,-x,-z'
'-x+1/2,-y+1/2,z'
'x+1/2,y+1/2,-z'
'y,-x+1/2,z'
'-y,x+1/2,-z'
'x+1/2,-y,-z'
'-x+1/2,y,z'
'-y,-x,-z'
'y,x,z'
'-x,y+1/2,-z'
'x,-y+1/2,z'
'y+1/2,x+1/2,-z'
'-y+1/2,-x+1/2,z'
loop_
_atom_site_label
_atom_site_type_symbol
_atom_site_fract_x
_atom_site_fract_y
_atom_site_fract_z
Pr1 Pr 0.250 0.250 0.247
Al1 Al 0.250 0.750 0.500
Si1 Si 0.250 0.250 0.873
Pt1 Pt 0.250 0.250 0.637
Pt2 Pt 0.250 0.750 0.000
```

Properties
raw total energy = -31.7 eV/f.u.

DFT (GGA-PBE) results for crystalline Pr2Sm2C2I5 at its relaxed geometry.

CIF file:
```
data_Pr2Sm2C2I5
_chemical_formula_sum 'Pr4 Sm4 C4 I10'
_symmetry_space_group_name_H-M 'C 1 2/m 1'
_symmetry_Int_Tables_number 12
_cell_length_a 20.258
_cell_length_b 4.072
_cell_length_c 8.813
_cell_angle_alpha 90.00
_cell_angle_beta 103.76
_cell_angle_gamma 90.00
loop_
_symmetry_equiv_pos_as_xyz
'x,y,z'
'-x,-y,-z'
'-x,y,-z'
'x,-y,z'
'x+1/2,y+1/2,z'
'-x+1/2,-y+1/2,-z'
'-x+1/2,y+1/2,-z'
'x+1/2,-y+1/2,z'
loop_
_atom_site_label
_atom_site_type_symbol
_atom_site_fract_x
_atom_site_fract_y
_atom_site_fract_z
Pr1 Pr 0.000 0.000 0.192
Sm1 Sm 0.150 0.500 0.089
C1 C 0.036 0.500 0.021
I1 I 0.000 0.500 0.500
I2 I 0.163 0.000 0.363
I3 I 0.169 0.000 0.828
```

Properties
raw total energy = -57.2 eV/f.u.

DFT (GGA-PBE) results for crystalline DyYTm2Zn2 at its relaxed geometry.

CIF file:
```
data_DyYTm2Zn2
_chemical_formula_sum 'Dy2 Y2 Tm4 Zn4'
_symmetry_space_group_name_H-M 'A m m 2'
_symmetry_Int_Tables_number 38
_cell_length_a 5.184
_cell_length_b 3.564
_cell_length_c 16.220
_cell_angle_alpha 90.00
_cell_angle_beta 90.00
_cell_angle_gamma 90.00
loop_
_symmetry_equiv_pos_as_xyz
'x,y,z'
'-x,-y,z'
'-x,y,z'
'x,-y,z'
'x,y+1/2,z+1/2'
'-x,-y+1/2,z+1/2'
'-x,y+1/2,z+1/2'
'x,-y+1/2,z+1/2'
loop_
_atom_site_label
_atom_site_type_symbol
_atom_site_fract_x
_atom_site_fract_y
_atom_site_fract_z
Dy1 Dy 0.000 0.000 0.000
Y1 Y 0.500 0.000 0.838
Tm1 Tm 0.000 0.000 0.697
Tm2 Tm 0.500 0.000 0.140
Zn1 Zn 0.000 0.000 0.346
Zn2 Zn 0.500 0.000 0.492
```

Properties
ΔE_f = -240 meV per atom
raw total energy = -24.0 eV/f.u.